A relaxed structure of Dy3Mg3TlAg2, computed with PBE.

a = 7.6570 Å, b = 7.6570 Å, c = 4.2791 Å
α = 90.00°, β = 90.00°, γ = 120.00°
Sites, in units of the cell vectors:
1 Dy 0.0000 0.4186 0.0000
2 Dy 0.4186 0.0000 0.0000
3 Dy 0.5814 0.5814 0.0000
4 Mg 0.0000 0.7451 0.5000
5 Mg 0.2549 0.2549 0.5000
6 Mg 0.7451 0.0000 0.5000
7 Tl 0.0000 0.0000 0.0000
8 Ag 0.3333 0.6667 0.5000
9 Ag 0.6667 0.3333 0.5000

Calculated values
Its total magnetization is 0.014 μB per formula unit. As for the space-group type: P-62m (189). The volume comes out at 217.3 Å³ per cell. As for the calculated total energy: -3.19 eV per atom.